{
  "formula": "Cs2Os2Rh",
  "functional": "PBE",
  "state": "relaxed",
  "lattice": [[3.504, 0.000, 0.000], [0.000, 3.504, 0.000], [1.752, 1.752, 11.663]],
  "species": ["Cs", "Cs", "Rh", "Os", "Os"],
  "fractional_positions": [[0.396, 0.396, 0.208], [0.604, 0.604, 0.792], [0.000, 0.000, 0.000], [0.750, 0.250, 0.500], [0.250, 0.750, 0.500]],
  "total_energy_ev_per_fu": -25.30,
  "n_ef_per_ev_fu": 8.16,
  "spacegroup": "No. 139",
  "total_magnetization_mub_per_cell": 0.00,
  "crystal_system": "tetragonal"
}

{
  "formula": "AgOs2PtO",
  "functional": "PBE",
  "state": "relaxed",
  "lattice": [[3.975, 0.000, 0.000], [0.000, 4.653, 0.000], [0.000, 0.000, 3.975]],
  "species": ["O", "Os", "Os", "Ag", "Pt"],
  "fractional_positions": [[0.000, 0.000, 0.000], [0.000, 0.000, 0.500], [0.500, 0.000, 0.000], [0.000, 0.500, 0.000], [0.500, 0.500, 0.500]],
  "total_energy_ev_per_fu": -32.35,
  "n_ef_per_ev_fu": 6.15,
  "spacegroup": "No. 123",
  "total_magnetization_mub_per_cell": 0.45,
  "crystal_system": "tetragonal"
}